ZnCdHg3 after structural relaxation, computed with PBE.

Cell and atoms, written as POSCAR:
```
ZnCdHg3
1.0
5.751 0.000 0.000
0.000 5.751 0.000
0.000 0.000 5.751
Zn Cd Hg
1 1 3
Direct
0.000 0.000 0.000
0.500 0.500 0.500
0.000 0.500 0.500
0.500 0.000 0.500
0.500 0.500 0.000
```

Results
ΔE_f (meV per atom): 266
Calculated total energy (eV per atom): -0.35
Offset from the most stable computed form (meV per atom): 222.2


VCdRh2 after structural relaxation, computed with PBE.

Cell and atoms, written as POSCAR:
```
VCdRh2
1.0
4.187 0.000 0.000
0.000 4.187 0.000
0.000 0.000 3.495
V Cd Rh
1 1 2
Direct
0.000 0.000 0.000
0.500 0.500 0.000
0.000 0.500 0.500
0.500 0.000 0.500
```

Results
ΔE_f (meV per atom): -98
Calculated total energy (eV per atom): -6.28


PrB2Rh4 after structural relaxation, computed with PBE.

Cell and atoms, written as POSCAR:
```
PrB2Rh4
1.0
7.377 0.000 0.000
0.000 7.377 0.000
0.000 0.000 3.602
Pr B Rh
2 4 8
Direct
0.000 0.000 0.000
0.500 0.500 0.500
0.228 0.228 0.500
0.272 0.728 0.000
0.728 0.272 0.000
0.772 0.772 0.500
0.068 0.676 0.500
0.176 0.432 0.000
0.324 0.932 0.500
0.432 0.176 0.000
0.568 0.824 0.000
0.676 0.068 0.500
0.824 0.568 0.000
0.932 0.324 0.500
```

Results
ΔE_f (meV per atom): -364
Calculated total energy (eV per atom): -7.16


La4SbH after structural relaxation, computed with PBE.

Cell and atoms, written as POSCAR:
```
La4SbH
1.0
6.146 0.000 0.000
-0.011 6.274 0.000
-3.071 -1.373 8.878
La Sb H
8 2 2
Direct
0.087 0.311 0.408
0.194 0.239 0.823
0.320 0.810 0.407
0.371 0.260 0.177
0.629 0.740 0.823
0.680 0.190 0.593
0.806 0.761 0.177
0.913 0.689 0.592
0.227 0.750 0.000
0.773 0.250 0.000
0.000 0.000 0.500
0.500 0.500 0.500
```

Results
Calculated total energy (eV per atom): -4.91


KTcCl after structural relaxation, computed with PBE.

Cell and atoms, written as POSCAR:
```
KTcCl
1.0
0.000 3.670 3.670
3.670 0.000 3.670
3.670 3.670 0.000
K Tc Cl
1 1 1
Direct
0.000 0.000 0.000
0.500 0.500 0.500
0.250 0.250 0.250
```

Results
Calculated total energy (eV per atom): -3.54
Offset from the most stable computed form (meV per atom): 432.6
Formation energy (no corrections) (meV per atom): 897


Sb2WAu after structural relaxation, computed with PBE.

Cell and atoms, written as POSCAR:
```
Sb2WAu
1.0
2.967 0.000 0.000
0.000 4.096 0.000
0.000 0.000 7.846
Sb W Au
2 1 1
Direct
0.000 0.000 0.000
0.500 0.500 0.422
0.000 0.000 0.634
0.500 0.500 0.811
```

Results
Calculated total energy (eV per atom): -5.68
Offset from the most stable computed form (meV per atom): 109.2
Formation energy (no corrections) (meV per atom): 439


Cs2KF3 after structural relaxation, computed with PBE.

Cell and atoms, written as POSCAR:
```
Cs2KF3
1.0
-2.099 2.099 8.824
2.099 -2.099 8.824
2.099 2.099 -8.824
Cs K F
2 1 3
Direct
0.163 0.163 0.000
0.837 0.837 0.000
0.500 0.500 0.000
0.000 0.000 0.000
0.347 0.347 0.000
0.653 0.653 0.000
```

Results
Calculated total energy (eV per atom): -4.05
Offset from the most stable computed form (meV per atom): 6.4
Formation energy (no corrections) (meV per atom): -2650


LaZnPd3 after structural relaxation, computed with PBE.

Cell and atoms, written as POSCAR:
```
LaZnPd3
1.0
5.163 0.000 0.000
0.000 5.163 0.000
0.000 0.000 5.163
La Zn Pd
1 1 3
Direct
0.000 0.000 0.000
0.500 0.500 0.500
0.000 0.000 0.500
0.000 0.500 0.000
0.500 0.000 0.000
```

Results
ΔE_f (meV per atom): 615
Calculated total energy (eV per atom): -3.74
Offset from the most stable computed form (meV per atom): 1208.8


Q: Which value of calculated total energy does entry 2 give?
A: -6.28 eV per atom


Q: Which of these has the lowest calculated total energy?
A: PrB2Rh4


Q: What is the formula in the second record?
A: VCdRh2